Computed, not measured: crystalline CdSb2Cl at its relaxed geometry at the PBE level of DFT.

```
4
Lattice="3.360 0.000 0.000 0.000 5.707 0.000 0.000 0.000 5.318" Properties=species:S:1:pos:R:3 pbc="T T T"
Sb 0.000 0.000 0.000
Sb 1.680 2.853 0.000
Cl 0.000 2.853 2.659
Cd 1.680 0.000 2.659
```

Calculated values
crystal system = orthorhombic
E above lowest polymorph = 274 meV per atom
total energy = -2.762 eV per atom



Computed, not measured: crystalline Mg2MnSe at its relaxed geometry at the PBE level of DFT.

```
4
Lattice="-0.750 -0.257 -2.977 -1.043 -2.854 0.510 -6.855 2.771 1.487" Properties=species:S:1:pos:R:3 pbc="T T T"
Mg -6.700 2.708 1.453
Mg -2.918 -0.738 -0.795
Mn -3.728 1.507 0.809
Se -5.585 0.340 -0.217
```

Calculated values
crystal system = tetragonal
total energy = -3.984 eV per atom



Computed, not measured: crystalline PmCu2SiIr at its relaxed geometry at the PBE level of DFT.

```
5
Lattice="-1.617 3.529 -0.848 -3.712 -1.634 0.279 2.536 0.214 5.365" Properties=species:S:1:pos:R:3 pbc="T T T"
Pm -0.115 1.037 4.536
Cu -0.860 2.222 1.578
Cu -0.012 0.112 0.489
Si -2.748 1.693 2.979
Ir -1.907 -0.354 2.166
```

Calculated values
crystal system = orthorhombic
total energy = -5.934 eV per atom



| no. | raw formation energy (meV/atom) |
| --- | --- |
| 1 | -10 |
| 2 | -23 |
| 3 | -489 |